1.
Compound: Ca2MgP
Source: Alexandria via LeMat-Bulk
Functional: GGA-PBE
Structure: optimized geometry

abc: 8.862 8.862 8.862
angles: 26.76 26.76 26.76
Sites, in units of the cell vectors:
1 Ca 0.034 0.034 0.034
2 Ca 0.234 0.234 0.234
3 Mg 0.468 0.468 0.468
4 P 0.764 0.764 0.764

Total magnetic moment, μB/atom: 0.00
Density, g/cm³: 1.81
Symmetry: No. 160
DFT formation energy, meV per atom: -460
Final energy, Ry/atom: -0.2360
V, Å³ per atom: 31.10
Crystal system: trigonal


2.
Compound: Ca3MgPa2P6
Source: Alexandria via LeMat-Bulk
Functional: GGA-PBE
Structure: optimized geometry

abc: 6.994 6.994 7.043
angles: 99.51 99.51 119.97
Sites, in units of the cell vectors:
1 Ca 0.164 0.836 0.500
2 Ca 0.836 0.164 0.500
3 Ca 0.500 0.500 0.500
4 Mg 0.000 0.000 0.000
5 Pa 0.333 0.667 0.000
6 Pa 0.667 0.333 0.000
7 P 0.924 0.582 0.772
8 P 0.735 0.735 0.229
9 P 0.076 0.418 0.228
10 P 0.582 0.924 0.772
11 P 0.265 0.265 0.771
12 P 0.418 0.076 0.228

Total magnetic moment, μB/atom: 0.00
Density, g/cm³: 4.67
Symmetry: No. 12
DFT formation energy, meV per atom: -1141
Final energy, Ry/atom: -0.4455
V, Å³ per atom: 23.48
Crystal system: monoclinic


3.
Compound: Ca2MgPPb
Source: Alexandria via LeMat-Bulk
Functional: GGA-PBE
Structure: optimized geometry

abc: 5.492 5.492 4.851
angles: 90.00 90.00 90.00
Sites, in units of the cell vectors:
1 Pb 0.500 0.500 0.500
2 P 0.000 0.000 0.000
3 Ca 0.000 0.500 0.000
4 Ca 0.500 0.000 0.000
5 Mg 0.000 0.000 0.500

Total magnetic moment, μB/atom: 0.00
Density, g/cm³: 3.89
Symmetry: No. 123
DFT formation energy, meV per atom: -585
Final energy, Ry/atom: -0.2593
V, Å³ per atom: 29.26
Crystal system: tetragonal